## SrTl2O4 (PBE-GGA)

Data for a relaxed structure of SrTl2O4.

a = 10.2127 Å, b = 3.4760 Å, c = 11.9310 Å
α = 90.00°, β = 90.00°, γ = 90.00°
Space group Pnma (No. 62)
Inequivalent atoms, fractional coordinates:
Sr (0.2453, 0.2500, 0.1516) (multiplicity 4)
Tl (0.0751, 0.2500, 0.3902) (multiplicity 4)
Tl (0.0799, 0.2500, 0.8924) (multiplicity 4)
O (0.0210, 0.7500, 0.7794) (multiplicity 4)
O (0.0879, 0.2500, 0.5740) (multiplicity 4)
O (0.1247, 0.7500, 0.0254) (multiplicity 4)
O (0.2110, 0.7500, 0.3207) (multiplicity 4)

Summary:
The energy above the most stable polymorph in this dataset is 0.00 kJ/mol of atoms. The total moment is 0.00 μB/cell.